[1]
## BaHNO2 (GGA-PBE)

Data for crystalline BaHNO2 at its relaxed geometry.

Cell and atoms, written as POSCAR:
```
BaHNO2
1.0
-3.137 1.800 3.406
-3.184 -3.683 -0.986
2.699 -3.492 4.331
O H Ba N
2 1 1 1
direct
0.500 0.000 0.000 O
0.000 0.500 0.000 O
0.500 0.500 0.500 H
0.000 0.000 0.000 Ba
0.000 0.000 0.500 N
```

Output
Space-group type: No. 123
Crystal system: tetragonal
Raw total energy in eV per atom: -3.68

[2]
## La7NdY3 (GGA-PBE)

Data for crystalline La7NdY3 at its relaxed geometry.

Cell and atoms, written as POSCAR:
```
La7NdY3
1.0
6.708 0.674 -1.038
0.078 6.650 0.492
-0.283 0.728 8.936
La Y Nd
7 3 1
direct
0.000 0.500 0.500 La
0.266 0.981 0.587 La
0.711 0.450 0.145 La
0.734 0.019 0.413 La
0.225 0.294 0.207 La
0.289 0.550 0.855 La
0.775 0.706 0.793 La
0.926 0.179 0.832 Y
0.074 0.821 0.168 Y
0.500 0.000 0.000 Y
0.500 0.500 0.500 Nd
```

Output
ΔH_f (0 K) in eV/atom: 0.117
Space-group type: No. 2
Crystal system: triclinic
Raw total energy in eV per atom: -5.22
Excess energy over the best structure of this formula in the dataset in meV per atom: 0

[3]
## Tl4F5 (GGA-PBE)

Data for crystalline Tl4F5 at its relaxed geometry.

Cell and atoms, written as POSCAR:
```
Tl4F5
1.0
-4.390 2.759 -0.899
-2.490 -0.970 -6.221
-5.623 -3.385 1.665
Tl F
4 5
direct
0.786 0.816 0.613 Tl
0.214 0.184 0.387 Tl
0.399 0.387 0.816 Tl
0.601 0.613 0.184 Tl
0.090 0.576 0.245 F
0.334 0.755 0.576 F
0.500 0.000 0.000 F
0.666 0.245 0.424 F
0.910 0.424 0.755 F
```

Output
Space-group type: No. 87
Crystal system: tetragonal
Formation energy without anion corrections in eV/atom: -1.671
Raw total energy in eV per atom: -3.76

[4]
## Pm5Sn5Ge (GGA-PBE)

Data for crystalline Pm5Sn5Ge at its relaxed geometry.

Cell and atoms, written as POSCAR:
```
Pm5Sn5Ge
1.0
5.743 0.000 0.000
-2.872 8.858 0.624
0.000 -2.459 6.235
Sn Pm Ge
5 5 1
direct
0.319 0.639 0.808 Sn
0.000 0.000 0.500 Sn
0.634 0.268 0.620 Sn
0.681 0.361 0.192 Sn
0.366 0.732 0.380 Sn
0.838 0.677 0.620 Pm
0.162 0.323 0.380 Pm
0.846 0.692 0.109 Pm
0.500 0.000 0.000 Pm
0.154 0.308 0.891 Pm
0.000 0.000 0.000 Ge
```

Output
ΔH_f (0 K) in eV/atom: -0.529
Space-group type: No. 12
Crystal system: monoclinic
Raw total energy in eV per atom: -4.93

[5]
## CdPb2Br (GGA-PBE)

Data for crystalline CdPb2Br at its relaxed geometry.

Cell and atoms, written as POSCAR:
```
CdPb2Br
1.0
-3.272 1.423 -0.131
-1.393 -3.249 -0.501
-0.805 -1.028 8.908
Pb Cd Br
2 1 1
direct
0.000 0.000 0.989 Pb
0.000 0.000 0.511 Pb
0.500 0.500 0.750 Cd
0.500 0.500 0.250 Br
```

Output
Space-group type: No. 123
Crystal system: tetragonal
Formation energy without anion corrections in eV/atom: -0.158
Raw total energy in eV per atom: -2.66
Excess energy over the best structure of this formula in the dataset in meV per atom: 22

[6]
## LiCeCo2H8 (GGA-PBE)

Data for crystalline LiCeCo2H8 at its relaxed geometry.

Cell and atoms, written as POSCAR:
```
LiCeCo2H8
1.0
-3.306 2.621 -1.524
-2.989 1.733 2.861
0.988 5.717 1.086
Ce H Li Co
1 8 1 2
direct
0.500 0.500 0.500 Ce
0.354 0.907 0.130 H
0.646 0.093 0.870 H
0.609 0.354 0.130 H
0.202 0.202 0.393 H
0.798 0.798 0.607 H
0.907 0.609 0.130 H
0.093 0.391 0.870 H
0.391 0.646 0.870 H
0.000 0.000 0.000 Li
0.695 0.695 0.914 Co
0.305 0.305 0.086 Co
```

Output
Space-group type: No. 148
Crystal system: trigonal
Raw total energy in eV per atom: -4.34

[7]
## YMg2Ag2 (GGA-PBE)

Data for crystalline YMg2Ag2 at its relaxed geometry.

Cell and atoms, written as POSCAR:
```
YMg2Ag2
1.0
4.973 0.013 -0.005
2.473 4.314 -0.005
0.008 0.005 5.513
Ag Mg Y
2 2 1
direct
0.167 0.667 0.856 Ag
0.833 0.333 0.144 Ag
0.167 0.667 0.364 Mg
0.833 0.333 0.636 Mg
0.500 0.000 0.000 Y
```

Output
ΔH_f (0 K) in eV/atom: -0.175
Space-group type: No. 164
Crystal system: trigonal
Raw total energy in eV per atom: -3.25
Excess energy over the best structure of this formula in the dataset in meV per atom: 32

[8]
## AcLa3Dy8 (GGA-PBE)

Data for crystalline AcLa3Dy8 at its relaxed geometry.

Cell and atoms, written as POSCAR:
```
AcLa3Dy8
1.0
7.072 0.357 -4.950
-3.058 8.006 -1.151
-1.747 -0.357 8.454
Ac Dy La
1 8 3
direct
0.838 0.000 0.838 Ac
0.503 0.171 0.332 Dy
0.162 0.829 0.332 Dy
0.173 0.919 0.751 Dy
0.500 0.669 0.832 Dy
0.832 0.578 0.751 Dy
0.832 0.081 0.254 Dy
0.173 0.422 0.254 Dy
0.163 0.331 0.831 Dy
0.493 0.747 0.240 La
0.838 0.500 0.338 La
0.493 0.253 0.746 La
```

Output
ΔH_f (0 K) in eV/atom: 0.040
Space-group type: No. 44
Crystal system: orthorhombic
Raw total energy in eV per atom: -4.60

[9]
## TcNi2Ge2 (GGA-PBE)

Data for crystalline TcNi2Ge2 at its relaxed geometry.

Cell and atoms, written as POSCAR:
```
TcNi2Ge2
1.0
-2.102 -6.041 2.644
3.667 -3.377 -4.801
2.177 -0.023 1.679
Ni Ge Tc
4 4 2
direct
0.138 0.638 0.500 Ni
0.862 0.362 0.500 Ni
0.638 0.862 0.500 Ni
0.362 0.138 0.500 Ni
0.657 0.157 0.000 Ge
0.343 0.843 0.000 Ge
0.157 0.343 0.000 Ge
0.843 0.657 0.000 Ge
0.500 0.500 0.000 Tc
0.000 0.000 0.000 Tc
```

Output
ΔH_f (0 K) in eV/atom: -0.105
Space-group type: No. 127
Crystal system: tetragonal
Raw total energy in eV per atom: -6.34
Excess energy over the best structure of this formula in the dataset in meV per atom: 0

[10]
## Ba2Zn2Sb (GGA-PBE)

Data for crystalline Ba2Zn2Sb at its relaxed geometry.

Cell and atoms, written as POSCAR:
```
Ba2Zn2Sb
1.0
-1.942 0.249 7.825
4.962 -6.197 1.429
3.701 3.152 0.818
Zn Ba Sb
4 4 2
direct
0.389 0.889 0.000 Zn
0.111 0.389 0.000 Zn
0.889 0.611 0.000 Zn
0.611 0.111 0.000 Zn
0.810 0.310 0.500 Ba
0.190 0.690 0.500 Ba
0.690 0.810 0.500 Ba
0.310 0.190 0.500 Ba
0.000 0.000 0.000 Sb
0.500 0.500 0.000 Sb
```

Output
Space-group type: No. 127
Crystal system: tetragonal
Formation energy without anion corrections in eV/atom: -0.415
Raw total energy in eV per atom: -2.52
Excess energy over the best structure of this formula in the dataset in meV per atom: 0

[11]
## SiSn3Ru (GGA-PBE)

Data for crystalline SiSn3Ru at its relaxed geometry.

Cell and atoms, written as POSCAR:
```
SiSn3Ru
1.0
-4.008 -2.932 0.887
3.015 -3.519 1.992
-0.539 2.113 4.548
Si Sn Ru
1 3 1
direct
0.000 0.000 0.000 Si
0.000 0.500 0.000 Sn
0.000 0.000 0.500 Sn
0.500 0.000 0.000 Sn
0.500 0.500 0.500 Ru
```

Output
Space-group type: No. 221
Crystal system: cubic
Formation energy without anion corrections in eV/atom: 1.163
Raw total energy in eV per atom: -4.18
Excess energy over the best structure of this formula in the dataset in meV per atom: 692

[12]
## LiAuSe2 (GGA-PBE)

Data for crystalline LiAuSe2 at its relaxed geometry.

Cell and atoms, written as POSCAR:
```
LiAuSe2
1.0
-0.322 0.057 -2.737
0.535 -2.702 -0.119
-10.680 -2.169 1.212
Li Se Au
1 2 1
direct
0.500 0.500 0.740 Li
0.000 0.000 0.918 Se
0.500 0.500 0.284 Se
0.000 0.000 0.559 Au
```

Output
Space-group type: No. 99
Crystal system: tetragonal
Formation energy without anion corrections in eV/atom: -0.223
Raw total energy in eV per atom: -3.26

Question: Which value of raw total energy does entry 7 give?
Answer: -3.25 eV per atom